1.
{
  "formula": "CdMo2H2",
  "functional": "PBE",
  "state": "relaxed",
  "volume_a3_per_atom": 12.12,
  "magmom_total_mub_per_fu": 0.00,
  "cell": [[6.5026, 0.0000, 0.0000], [0.0000, 6.5026, 0.0000], [0.0000, 0.0000, 2.8674]],
  "species": ["Cd", "Cd", "Mo", "Mo", "Mo", "Mo", "H", "H", "H", "H"],
  "frac_coords": [[0.0000, 0.0000, 0.0000], [0.5000, 0.5000, 0.0000], [0.1278, 0.3722, 0.5000], [0.3722, 0.8722, 0.5000], [0.6278, 0.1278, 0.5000], [0.8722, 0.6278, 0.5000], [0.1062, 0.6062, 0.0000], [0.3938, 0.1062, 0.0000], [0.6062, 0.8938, 0.0000], [0.8938, 0.3938, 0.0000]]
}


2.
{
  "formula": "CdMo2H2",
  "functional": "PBE",
  "state": "relaxed",
  "volume_a3_per_atom": 13.02,
  "magmom_total_mub_per_fu": 0.00,
  "cell": [[-1.8589, 1.8589, 4.7081], [1.8589, -1.8589, 4.7081], [1.8589, 1.8589, -4.7081]],
  "species": ["Cd", "Mo", "Mo", "H", "H"],
  "frac_coords": [[0.0000, 0.0000, 0.0000], [0.2500, 0.7500, 0.5000], [0.7500, 0.2500, 0.5000], [0.3366, 0.3366, 0.0000], [0.6634, 0.6634, 0.0000]]
}


3.
{
  "formula": "Cd3MoH",
  "functional": "PBE",
  "state": "relaxed",
  "volume_a3_per_atom": 16.21,
  "magmom_total_mub_per_fu": 0.00,
  "cell": [[4.3274, 0.0000, 0.0000], [0.0000, 4.3274, 0.0000], [0.0000, 0.0000, 4.3274]],
  "species": ["Cd", "Cd", "Cd", "Mo", "H"],
  "frac_coords": [[0.0000, 0.0000, 0.5000], [0.0000, 0.5000, 0.0000], [0.5000, 0.0000, 0.0000], [0.5000, 0.5000, 0.5000], [0.0000, 0.0000, 0.0000]]
}


4.
{
  "formula": "CdMo2H",
  "functional": "PBE",
  "state": "relaxed",
  "volume_a3_per_atom": 15.47,
  "magmom_total_mub_per_fu": 0.00,
  "cell": [[0.0000, 3.9553, 3.9553], [3.9553, 0.0000, 3.9553], [3.9553, 3.9553, 0.0000]],
  "species": ["Cd", "Cd", "Mo", "Mo", "Mo", "Mo", "H", "H"],
  "frac_coords": [[0.1250, 0.1250, 0.1250], [0.8750, 0.8750, 0.8750], [0.0000, 0.5000, 0.5000], [0.5000, 0.0000, 0.5000], [0.5000, 0.5000, 0.0000], [0.5000, 0.5000, 0.5000], [0.3750, 0.3750, 0.3750], [0.6250, 0.6250, 0.6250]]
}


5.
{
  "formula": "CdMoH3",
  "functional": "PBE",
  "state": "relaxed",
  "volume_a3_per_atom": 9.76,
  "magmom_total_mub_per_fu": 0.94,
  "cell": [[3.6547, 0.0000, 0.0000], [0.0000, 3.6547, 0.0000], [0.0000, 0.0000, 3.6547]],
  "species": ["Cd", "Mo", "H", "H", "H"],
  "frac_coords": [[0.0000, 0.0000, 0.0000], [0.5000, 0.5000, 0.5000], [0.0000, 0.0000, 0.5000], [0.0000, 0.5000, 0.0000], [0.5000, 0.0000, 0.0000]]
}


6.
{
  "formula": "CdMoH2",
  "functional": "PBE",
  "state": "relaxed",
  "volume_a3_per_atom": 11.05,
  "magmom_total_mub_per_fu": 0.00,
  "cell": [[1.5190, 0.8770, 5.5285], [-1.5190, 0.8770, 5.5285], [0.0000, -1.7539, 5.5285]],
  "species": ["Cd", "Mo", "H", "H"],
  "frac_coords": [[0.0000, 0.0000, 0.0000], [0.8214, 0.8214, 0.8214], [0.2037, 0.2037, 0.2037], [0.4482, 0.4482, 0.4482]]
}


7.
{
  "formula": "CdMoH",
  "functional": "PBE",
  "state": "relaxed",
  "volume_a3_per_atom": 13.13,
  "magmom_total_mub_per_fu": 0.00,
  "cell": [[3.0369, 0.0000, 0.0000], [-1.5185, 2.6301, 0.0000], [0.0000, 0.0000, 9.8614]],
  "species": ["Cd", "Cd", "Mo", "Mo", "H", "H"],
  "frac_coords": [[0.0000, 0.0000, 0.0000], [0.3333, 0.6667, 0.5000], [0.6667, 0.3333, 0.2456], [0.6667, 0.3333, 0.7544], [0.0000, 0.0000, 0.3004], [0.0000, 0.0000, 0.6996]]
}


8.
{
  "formula": "CdMoH2",
  "functional": "PBE",
  "state": "relaxed",
  "volume_a3_per_atom": 10.93,
  "magmom_total_mub_per_fu": 0.00,
  "cell": [[-2.7168, 2.7168, 2.9615], [2.7168, -2.7168, 2.9615], [2.7168, 2.7168, -2.9615]],
  "species": ["Cd", "Cd", "Mo", "Mo", "H", "H", "H", "H"],
  "frac_coords": [[0.0000, 0.0000, 0.0000], [0.7500, 0.2500, 0.5000], [0.2500, 0.7500, 0.5000], [0.5000, 0.5000, 0.0000], [0.2056, 0.6250, 0.0806], [0.3750, 0.4556, 0.5806], [0.5444, 0.1250, 0.9194], [0.8750, 0.7944, 0.4194]]
}


9.
{
  "formula": "Cd3MoH",
  "functional": "PBE",
  "state": "relaxed",
  "volume_a3_per_atom": 34.36,
  "magmom_total_mub_per_fu": 4.48,
  "cell": [[5.5589, 0.0000, 0.0000], [0.0000, 5.5589, 0.0000], [0.0000, 0.0000, 5.5589]],
  "species": ["Cd", "Cd", "Cd", "Mo", "H"],
  "frac_coords": [[0.0000, 0.0000, 0.5000], [0.0000, 0.5000, 0.0000], [0.5000, 0.0000, 0.0000], [0.0000, 0.0000, 0.0000], [0.5000, 0.5000, 0.5000]]
}


10.
{
  "formula": "Nb2CdMoH",
  "functional": "PBE",
  "state": "relaxed",
  "volume_a3_per_atom": 14.71,
  "magmom_total_mub_per_fu": 0.00,
  "cell": [[4.2257, 0.0000, 0.0000], [0.0000, 4.2257, 0.0000], [0.0000, 0.0000, 4.1177]],
  "species": ["Nb", "Nb", "Cd", "Mo", "H"],
  "frac_coords": [[0.0000, 0.5000, 0.0000], [0.5000, 0.0000, 0.0000], [0.0000, 0.0000, 0.5000], [0.5000, 0.5000, 0.5000], [0.5000, 0.5000, 0.0000]]
}


11.
{
  "formula": "CdNi2MoH",
  "functional": "PBE",
  "state": "relaxed",
  "volume_a3_per_atom": 12.09,
  "magmom_total_mub_per_fu": 2.15,
  "cell": [[3.9812, 0.0000, 0.0000], [0.0000, 3.9812, 0.0000], [0.0000, 0.0000, 3.8152]],
  "species": ["Cd", "Ni", "Ni", "Mo", "H"],
  "frac_coords": [[0.0000, 0.0000, 0.0000], [0.0000, 0.5000, 0.5000], [0.5000, 0.0000, 0.5000], [0.5000, 0.5000, 0.0000], [0.5000, 0.5000, 0.5000]]
}


12.
{
  "formula": "CdMoH2Ru",
  "functional": "PBE",
  "state": "relaxed",
  "volume_a3_per_atom": 13.90,
  "magmom_total_mub_per_fu": 0.00,
  "cell": [[3.8014, 0.0000, 0.0000], [0.0000, 3.8014, 0.0000], [0.0000, 0.0000, 4.8087]],
  "species": ["Cd", "Mo", "H", "H", "Ru"],
  "frac_coords": [[0.0000, 0.0000, 0.0000], [0.5000, 0.5000, 0.0000], [0.0000, 0.5000, 0.5000], [0.5000, 0.0000, 0.5000], [0.5000, 0.5000, 0.5000]]
}


| no. | raw total energy (eV for the cell shown) |
| --- | --- |
| 1 | -52.8 |
| 2 | -27.3 |
| 3 | -13.8 |
| 4 | -46.6 |
| 5 | -16.2 |
| 6 | -17.6 |
| 7 | -28.6 |
| 8 | -34.4 |
| 9 | -10.3 |
| 10 | -34.8 |
| 11 | -25.3 |
| 12 | -23.4 |